(1)
# Ni2GeH

An optimized crystal structure of Ni2GeH (GGA-PBE, the Alexandria database).

Output
energy above the most stable polymorph in this dataset: 1.532 eV per formula unit
space-group type: No. 225
E_tot: -4.640 eV per atom

Cell lengths 3.903, 3.903, 3.903 Å; angles 60.00, 60.00, 60.00 degrees
Sites, in units of the cell vectors:
1 Ni 0.250 0.250 0.250
2 Ni 0.750 0.750 0.750
3 H 0.000 0.000 0.000
4 Ge 0.500 0.500 0.500

=====

(2)
# Ni5GeH

An optimized crystal structure of Ni5GeH (GGA-PBE, the Alexandria database).

Output
energy above the most stable polymorph in this dataset: 0.000 eV per formula unit
space-group type: No. 15
E_tot: -5.224 eV per atom

Cell lengths 5.470, 5.470, 6.351 Å; angles 66.43, 66.43, 92.80 degrees
Sites, in units of the cell vectors:
1 Ni 0.113 0.887 0.250
2 Ni 0.508 0.268 0.979
3 Ni 0.335 0.080 0.757
4 Ni 0.665 0.920 0.243
5 Ni 0.268 0.508 0.479
6 Ni 0.492 0.732 0.021
7 Ni 0.080 0.335 0.257
8 Ni 0.887 0.113 0.750
9 Ni 0.920 0.665 0.743
10 Ni 0.732 0.492 0.521
11 H 0.000 0.000 0.000
12 H 0.000 0.000 0.500
13 Ge 0.649 0.351 0.250
14 Ge 0.351 0.649 0.750

=====

(3)
# NpNiGeH

An optimized crystal structure of NpNiGeH (GGA-PBE, the Alexandria database).

Output
space-group type: No. 187
E_tot: -7.003 eV per atom

Cell lengths 4.207, 4.207, 3.618 Å; angles 90.00, 90.00, 120.00 degrees
Sites, in units of the cell vectors:
1 H 0.238 0.477 0.310
2 Ge 0.905 0.811 0.810
3 Np 0.572 0.144 0.310
4 Ni 0.239 0.477 0.810

=====

(4)
# NpNi2GeH

An optimized crystal structure of NpNi2GeH (GGA-PBE, the Alexandria database).

Output
space-group type: No. 63
E_tot: -6.774 eV per atom

Cell lengths 3.876, 5.587, 6.576 Å; angles 90.00, 90.00, 110.30 degrees
Sites, in units of the cell vectors:
1 Ni 0.840 0.680 0.056
2 Ni 0.160 0.320 0.944
3 Ni 0.160 0.320 0.556
4 Ni 0.840 0.680 0.444
5 Ge 0.719 0.438 0.750
6 Ge 0.281 0.562 0.250
7 Np 0.561 0.122 0.250
8 Np 0.439 0.878 0.750
9 H 0.000 0.000 0.000
10 H 0.000 0.000 0.500

=====

(5)
# Ni2GeHOs

An optimized crystal structure of Ni2GeHOs (GGA-PBE, the Alexandria database).

Output
space-group type: No. 123
E_tot: -6.131 eV per atom

Cell lengths 3.700, 3.700, 3.852 Å; angles 90.00, 90.00, 90.00 degrees
Sites, in units of the cell vectors:
1 Ni 0.000 0.500 0.000
2 Ni 0.500 0.000 0.000
3 H 0.000 0.000 0.000
4 Os 0.000 0.000 0.500
5 Ge 0.500 0.500 0.500

=====

(6)
# Pa2Ni5Ge3H2

An optimized crystal structure of Pa2Ni5Ge3H2 (GGA-PBE, the Alexandria database).

Output
space-group type: No. 139
E_tot: -6.008 eV per atom

Cell lengths 3.905, 3.905, 10.767 Å; angles 100.45, 100.45, 90.00 degrees
Sites, in units of the cell vectors:
1 Ni 0.918 0.418 0.837
2 Ni 0.418 0.918 0.837
3 Ni 0.500 0.500 0.000
4 Ni 0.582 0.082 0.163
5 Ni 0.082 0.582 0.163
6 Pa 0.301 0.301 0.602
7 Pa 0.699 0.699 0.398
8 H 0.579 0.579 0.159
9 H 0.421 0.421 0.841
10 Ge 0.000 0.000 0.000
11 Ge 0.844 0.844 0.689
12 Ge 0.156 0.156 0.311